1.
The following is a DFT calculation (PBE) of crystalline YBeGa4Cu2 at its relaxed geometry.

Structure (extended XYZ):
```
8
Lattice="4.202 0.000 0.000 2.101 3.639 0.000 2.101 1.213 8.462" Properties=species:S:1:pos:R:3 pbc="T T T"
Y 0.000 0.000 0.000
Be 4.202 2.426 4.231
Ga 4.202 2.426 6.736
Ga 6.303 3.639 3.295
Ga 2.101 1.213 5.167
Ga 4.202 2.426 1.725
Cu 6.303 3.639 6.008
Cu 2.101 1.213 2.453
```

Computed properties:
Crystal system: trigonal
SG: R-3m, No. 166
Energy of formation (meV per atom): -159

***

2.
The following is a DFT calculation (PBE) of crystalline YSnSe2O at its relaxed geometry.

Structure (extended XYZ):
```
10
Lattice="-2.240 0.253 3.187 -2.447 -2.640 -1.511 8.160 -11.362 6.636" Properties=species:S:1:pos:R:3 pbc="T T T"
Y 3.560 -6.389 5.399
Y 2.257 -6.166 2.075
Sn 0.165 -1.664 2.639
Sn 5.651 -10.892 4.835
Se 4.295 -9.004 3.732
Se -0.340 -2.550 -0.037
Se 6.157 -10.006 7.511
Se 1.521 -3.552 3.742
O 4.080 -5.681 3.318
O 1.736 -6.875 4.156
```

Computed properties:
Crystal system: tetragonal
SG: P4/nmm, No. 129
Raw formation energy (eV per formula unit): -8.481

***

3.
The following is a DFT calculation (PBE) of crystalline Sm6CuAg5 at its relaxed geometry.

Structure (extended XYZ):
```
12
Lattice="5.135 0.002 -1.086 -0.003 7.307 -0.001 -0.978 0.000 8.251" Properties=species:S:1:pos:R:3 pbc="T T T"
Ag 3.099 3.655 2.055
Ag 1.049 7.308 5.097
Ag -0.002 3.653 0.000
Ag 3.104 0.002 2.068
Ag 1.055 3.654 5.110
Cu 0.000 0.000 0.000
Sm 3.637 5.505 4.649
Sm 3.638 1.806 4.650
Sm 1.589 1.776 7.708
Sm 2.565 5.533 -0.543
Sm 0.515 5.504 2.515
Sm 0.517 1.804 2.516
```

Computed properties:
Crystal system: monoclinic
SG: P2/m, No. 10
Energy of formation (meV per atom): -257

***

The DOS(E_F) results, record by record, are as follows: 0.331 0.244 0.624 states/eV per atom.